1.
# NdHo2Nb | Alexandria | PBE | optimized geometry
data_NdHo2Nb
_chemical_formula_sum 'Nd1 Ho2 Nb1'
_symmetry_space_group_name_H-M 'P 1'
_symmetry_Int_Tables_number 1
_symmetry_space_group_name_Hall 'P 1'
_cell_length_a 5.362
_cell_length_b 5.362
_cell_length_c 5.358
_cell_angle_alpha 59.98
_cell_angle_beta 59.98
_cell_angle_gamma 60.00
loop_
_atom_site_label
_atom_site_type_symbol
_atom_site_fract_x
_atom_site_fract_y
_atom_site_fract_z
_atom_site_occupancy
Nb1 Nb 0.000 0.000 0.000 1
Nd1 Nd 0.500 0.500 0.500 1
Ho1 Ho 0.250 0.250 0.250 1
Ho2 Ho 0.750 0.750 0.750 1
# DFT formation energy in eV/f.u.: 1.45
# E_tot in eV per atom: -5.637
# Calculated volume in Å³/cell: 108.9

***

2.
# HoNbNi2 | Alexandria | PBE | optimized geometry
data_HoNbNi2
_chemical_formula_sum 'Ho1 Nb1 Ni2'
_symmetry_space_group_name_H-M 'P 1'
_symmetry_Int_Tables_number 1
_symmetry_space_group_name_Hall 'P 1'
_cell_length_a 4.255
_cell_length_b 4.255
_cell_length_c 5.258
_cell_angle_alpha 66.13
_cell_angle_beta 66.13
_cell_angle_gamma 60.00
loop_
_atom_site_label
_atom_site_type_symbol
_atom_site_fract_x
_atom_site_fract_y
_atom_site_fract_z
_atom_site_occupancy
Ni1 Ni 0.296 0.296 0.111 1
Ni2 Ni 0.704 0.704 0.889 1
Nb1 Nb 0.000 0.000 0.000 1
Ho1 Ho 0.500 0.500 0.500 1
# DFT formation energy in eV/f.u.: -0.91
# E_tot in eV per atom: -6.779
# Calculated volume in Å³/cell: 72.9

***

3.
# Ho2Nb2Ni15 | Alexandria | PBE | optimized geometry
data_Ho2Nb2Ni15
_chemical_formula_sum 'Ho2 Nb2 Ni15'
_symmetry_space_group_name_H-M 'P 1'
_symmetry_Int_Tables_number 1
_symmetry_space_group_name_Hall 'P 1'
_cell_length_a 6.365
_cell_length_b 6.365
_cell_length_c 6.365
_cell_angle_alpha 82.18
_cell_angle_beta 82.18
_cell_angle_gamma 82.18
loop_
_atom_site_label
_atom_site_type_symbol
_atom_site_fract_x
_atom_site_fract_y
_atom_site_fract_z
_atom_site_occupancy
Ho1 Ho 0.349 0.349 0.349 1
Ho2 Ho 0.651 0.651 0.651 1
Nb1 Nb 0.102 0.102 0.102 1
Nb2 Nb 0.898 0.898 0.898 1
Ni1 Ni 0.500 0.000 0.000 1
Ni2 Ni 0.000 0.000 0.500 1
Ni3 Ni 0.000 0.500 0.000 1
Ni4 Ni 0.000 0.697 0.303 1
Ni5 Ni 0.697 0.303 0.000 1
Ni6 Ni 0.303 0.000 0.697 1
Ni7 Ni 0.303 0.697 0.000 1
Ni8 Ni 0.697 0.000 0.303 1
Ni9 Ni 0.000 0.303 0.697 1
Ni10 Ni 0.159 0.654 0.654 1
Ni11 Ni 0.654 0.654 0.159 1
Ni12 Ni 0.654 0.159 0.654 1
Ni13 Ni 0.841 0.346 0.346 1
Ni14 Ni 0.346 0.346 0.841 1
Ni15 Ni 0.346 0.841 0.346 1
# DFT formation energy in eV/f.u.: -4.83
# E_tot in eV per atom: -6.360
# Calculated volume in Å³/cell: 251.3

***

4.
# HoNbNi2 | Alexandria | PBE | optimized geometry
data_HoNbNi2
_chemical_formula_sum 'Ho1 Nb1 Ni2'
_symmetry_space_group_name_H-M 'P 1'
_symmetry_Int_Tables_number 1
_symmetry_space_group_name_Hall 'P 1'
_cell_length_a 3.207
_cell_length_b 3.207
_cell_length_c 6.585
_cell_angle_alpha 90.00
_cell_angle_beta 90.00
_cell_angle_gamma 90.00
loop_
_atom_site_label
_atom_site_type_symbol
_atom_site_fract_x
_atom_site_fract_y
_atom_site_fract_z
_atom_site_occupancy
Ni1 Ni 0.000 0.000 0.800 1
Ni2 Ni 0.000 0.000 0.200 1
Nb1 Nb 0.500 0.500 0.000 1
Ho1 Ho 0.500 0.500 0.500 1
# DFT formation energy in eV/f.u.: -0.81
# E_tot in eV per atom: -6.754
# Calculated volume in Å³/cell: 67.7

***

5.
# HoNbNiRu | Alexandria | PBE | optimized geometry
data_HoNbNiRu
_chemical_formula_sum 'Ho1 Nb1 Ni1 Ru1'
_symmetry_space_group_name_H-M 'P 1'
_symmetry_Int_Tables_number 1
_symmetry_space_group_name_Hall 'P 1'
_cell_length_a 4.595
_cell_length_b 4.595
_cell_length_c 4.595
_cell_angle_alpha 60.00
_cell_angle_beta 60.00
_cell_angle_gamma 60.00
loop_
_atom_site_label
_atom_site_type_symbol
_atom_site_fract_x
_atom_site_fract_y
_atom_site_fract_z
_atom_site_occupancy
Ru1 Ru 0.250 0.250 0.250 1
Nb1 Nb 0.000 0.000 0.000 1
Ho1 Ho 0.500 0.500 0.500 1
Ni1 Ni 0.750 0.750 0.750 1
# DFT formation energy in eV/f.u.: -0.74
# E_tot in eV per atom: -7.611
# Calculated volume in Å³/cell: 68.6

***

6.
# Ho3NbO7 | Alexandria | PBE | optimized geometry
data_Ho3NbO7
_chemical_formula_sum 'Ho6 Nb2 O14'
_symmetry_space_group_name_H-M 'P 1'
_symmetry_Int_Tables_number 1
_symmetry_space_group_name_Hall 'P 1'
_cell_length_a 6.489
_cell_length_b 6.489
_cell_length_c 7.450
_cell_angle_alpha 90.00
_cell_angle_beta 90.00
_cell_angle_gamma 108.45
loop_
_atom_site_label
_atom_site_type_symbol
_atom_site_fract_x
_atom_site_fract_y
_atom_site_fract_z
_atom_site_occupancy
Ho1 Ho 0.459 0.459 0.500 1
Ho2 Ho 0.541 0.541 0.000 1
Ho3 Ho 0.536 0.000 0.261 1
Ho4 Ho 0.464 0.000 0.761 1
Ho5 Ho 0.000 0.536 0.739 1
Ho6 Ho 0.000 0.464 0.239 1
Nb1 Nb 0.997 0.997 0.500 1
Nb2 Nb 0.003 0.003 0.000 1
O1 O 0.694 0.953 0.550 1
O2 O 0.306 0.047 0.050 1
O3 O 0.953 0.694 0.450 1
O4 O 0.047 0.306 0.950 1
O5 O 0.085 0.333 0.522 1
O6 O 0.915 0.667 0.022 1
O7 O 0.333 0.085 0.478 1
O8 O 0.667 0.915 0.978 1
O9 O 0.371 0.629 0.250 1
O10 O 0.629 0.371 0.750 1
O11 O 0.640 0.360 0.250 1
O12 O 0.360 0.640 0.750 1
O13 O 0.926 0.074 0.250 1
O14 O 0.074 0.926 0.750 1
# Energy relative to the elements, uncorrected in meV per atom: -3325
# E_tot in eV per atom: -8.644
# Calculated volume in Å³/cell: 297.6

***

7.
# Ho6NbO12 | Alexandria | PBE | optimized geometry
data_Ho6NbO12
_chemical_formula_sum 'Ho6 Nb1 O12'
_symmetry_space_group_name_H-M 'P 1'
_symmetry_Int_Tables_number 1
_symmetry_space_group_name_Hall 'P 1'
_cell_length_a 6.460
_cell_length_b 6.460
_cell_length_c 6.460
_cell_angle_alpha 98.78
_cell_angle_beta 98.78
_cell_angle_gamma 98.78
loop_
_atom_site_label
_atom_site_type_symbol
_atom_site_fract_x
_atom_site_fract_y
_atom_site_fract_z
_atom_site_occupancy
Ho1 Ho 0.139 0.303 0.611 1
Ho2 Ho 0.697 0.389 0.861 1
Ho3 Ho 0.389 0.861 0.697 1
Ho4 Ho 0.861 0.697 0.389 1
Ho5 Ho 0.303 0.611 0.139 1
Ho6 Ho 0.611 0.139 0.303 1
Nb1 Nb 0.000 0.000 0.000 1
O1 O 0.436 0.178 0.586 1
O2 O 0.178 0.586 0.436 1
O3 O 0.586 0.436 0.178 1
O4 O 0.564 0.822 0.414 1
O5 O 0.822 0.414 0.564 1
O6 O 0.414 0.564 0.822 1
O7 O 0.044 0.926 0.694 1
O8 O 0.306 0.956 0.074 1
O9 O 0.074 0.306 0.956 1
O10 O 0.956 0.074 0.306 1
O11 O 0.694 0.044 0.926 1
O12 O 0.926 0.694 0.044 1
# Energy relative to the elements, uncorrected in meV per atom: -3340
# E_tot in eV per atom: -8.447
# Calculated volume in Å³/cell: 258.9

***

8.
# Ho3NbO | Alexandria | PBE | optimized geometry
data_Ho3NbO
_chemical_formula_sum 'Ho3 Nb1 O1'
_symmetry_space_group_name_H-M 'P 1'
_symmetry_Int_Tables_number 1
_symmetry_space_group_name_Hall 'P 1'
_cell_length_a 4.727
_cell_length_b 4.727
_cell_length_c 4.727
_cell_angle_alpha 90.00
_cell_angle_beta 90.00
_cell_angle_gamma 90.00
loop_
_atom_site_label
_atom_site_type_symbol
_atom_site_fract_x
_atom_site_fract_y
_atom_site_fract_z
_atom_site_occupancy
Nb1 Nb 0.500 0.500 0.500 1
Ho1 Ho 0.000 0.500 0.000 1
Ho2 Ho 0.000 0.000 0.500 1
Ho3 Ho 0.500 0.000 0.000 1
O1 O 0.000 0.000 0.000 1
# Energy relative to the elements, uncorrected in meV per atom: -1017
# E_tot in eV per atom: -6.769
# Calculated volume in Å³/cell: 105.6

***

Calculated values (μB per cell) of spin magnetization for the records, taken in order: 0.73, 0.00, 0.06, 0.00, 0.00, 0.00, 1.13, 0.00.